# LaY2Ru (PBEsol, optimized geometry)
# Formation energy from the elements = -0.17 eV per atom
# E above lowest polymorph = 0.000 eV per atom
# Space-group type = P4/mmm (123)
# D(E_F) = 3.74 states/eV per cell
data_LaY2Ru
_cell_length_a 3.3988
_cell_length_b 3.3988
_cell_length_c 9.1202
_cell_angle_alpha 90.00
_cell_angle_beta 90.00
_cell_angle_gamma 90.00
_space_group_name_H-M_alt 'P 1'
_space_group_IT_number 1
_space_group_name_Hall 'P 1'
loop_
_atom_site_label
_atom_site_type_symbol
_atom_site_fract_x
_atom_site_fract_y
_atom_site_fract_z
La1 La 0.0000 0.0000 0.0000
Y1 Y 0.5000 0.5000 0.3226
Y2 Y 0.5000 0.5000 0.6774
Ru1 Ru 0.0000 0.0000 0.5000



# LiBe2Fe (PBEsol, optimized geometry)
# Formation energy from the elements = 0.24 eV per atom
# Space-group type = F-43m (216)
# D(E_F) = 4.11 states/eV per cell
data_LiBe2Fe
_cell_length_a 3.7239
_cell_length_b 3.7239
_cell_length_c 3.7239
_cell_angle_alpha 60.00
_cell_angle_beta 60.00
_cell_angle_gamma 60.00
_space_group_name_H-M_alt 'P 1'
_space_group_IT_number 1
_space_group_name_Hall 'P 1'
loop_
_atom_site_label
_atom_site_type_symbol
_atom_site_fract_x
_atom_site_fract_y
_atom_site_fract_z
Li1 Li 0.0000 0.0000 0.0000
Be1 Be 0.2500 0.2500 0.2500
Be2 Be 0.5000 0.5000 0.5000
Fe1 Fe 0.7500 0.7500 0.7500



# TcSe2O (PBEsol, optimized geometry)
# Formation energy from raw total energies = 244 meV/atom
# Space-group type = I-42d (122)
# D(E_F) = 8.39 states/eV per cell
data_TcSe2O
_cell_length_a 6.3647
_cell_length_b 6.3647
_cell_length_c 6.3647
_cell_angle_alpha 129.52
_cell_angle_beta 129.52
_cell_angle_gamma 74.18
_space_group_name_H-M_alt 'P 1'
_space_group_IT_number 1
_space_group_name_Hall 'P 1'
loop_
_atom_site_label
_atom_site_type_symbol
_atom_site_fract_x
_atom_site_fract_y
_atom_site_fract_z
Tc1 Tc 0.0000 0.0000 0.0000
Tc2 Tc 0.7500 0.2500 0.5000
Se1 Se 0.1364 0.6250 0.0114
Se2 Se 0.3750 0.3864 0.5114
Se3 Se 0.6136 0.1250 0.9886
Se4 Se 0.8750 0.8636 0.4886
O1 O 0.2500 0.7500 0.5000
O2 O 0.5000 0.5000 0.0000



# BaInO2 (PBEsol, optimized geometry)
# Formation energy from raw total energies = -1360 meV/atom
# Space-group type = R-3m (166)
# D(E_F) = 1.13 states/eV per cell
data_BaInO2
_cell_length_a 7.4018
_cell_length_b 7.4018
_cell_length_c 7.4018
_cell_angle_alpha 27.08
_cell_angle_beta 27.08
_cell_angle_gamma 27.08
_space_group_name_H-M_alt 'P 1'
_space_group_IT_number 1
_space_group_name_Hall 'P 1'
loop_
_atom_site_label
_atom_site_type_symbol
_atom_site_fract_x
_atom_site_fract_y
_atom_site_fract_z
Ba1 Ba 0.0000 0.0000 0.0000
In1 In 0.5000 0.5000 0.5000
O1 O 0.1179 0.1179 0.1179
O2 O 0.8821 0.8821 0.8821



# LiCoPO4 (PBEsol, optimized geometry)
# Formation energy from raw total energies = -1810 meV/atom
# E above lowest polymorph = 0.042 eV per atom
# Space-group type = Pbcn (60)
# D(E_F) = 3.94 states/eV per cell
data_LiCoPO4
_cell_length_a 4.3080
_cell_length_b 14.4339
_cell_length_c 4.6264
_cell_angle_alpha 90.00
_cell_angle_beta 90.00
_cell_angle_gamma 90.00
_space_group_name_H-M_alt 'P 1'
_space_group_IT_number 1
_space_group_name_Hall 'P 1'
loop_
_atom_site_label
_atom_site_type_symbol
_atom_site_fract_x
_atom_site_fract_y
_atom_site_fract_z
Li1 Li 0.0000 0.2485 0.2500
Li2 Li 0.0000 0.7515 0.7500
Li3 Li 0.5000 0.2515 0.7500
Li4 Li 0.5000 0.7485 0.2500
Co1 Co 0.0000 0.0504 0.7500
Co2 Co 0.0000 0.9496 0.2500
Co3 Co 0.5000 0.4496 0.2500
Co4 Co 0.5000 0.5504 0.7500
P1 P 0.0000 0.3846 0.7500
P2 P 0.0000 0.6154 0.2500
P3 P 0.5000 0.1154 0.2500
P4 P 0.5000 0.8846 0.7500
O1 O 0.1906 0.3274 0.5325
O2 O 0.1906 0.6726 0.0325
O3 O 0.2329 0.4469 0.9187
O4 O 0.2329 0.5531 0.4187
O5 O 0.2671 0.0531 0.4187
O6 O 0.2671 0.9469 0.9187
O7 O 0.3094 0.1726 0.0325
O8 O 0.3094 0.8274 0.5325
O9 O 0.6906 0.1726 0.4675
O10 O 0.6906 0.8274 0.9675
O11 O 0.7329 0.0531 0.0813
O12 O 0.7329 0.9469 0.5813
O13 O 0.7671 0.4469 0.5813
O14 O 0.7671 0.5531 0.0813
O15 O 0.8094 0.3274 0.9675
O16 O 0.8094 0.6726 0.4675



# ZrAsBr (PBEsol, optimized geometry)
# Formation energy from raw total energies = -907 meV/atom
# E above lowest polymorph = 0.000 eV per atom
# Space-group type = P3m1 (156)
data_ZrAsBr
_cell_length_a 3.7576
_cell_length_b 3.7576
_cell_length_c 6.2473
_cell_angle_alpha 90.00
_cell_angle_beta 90.00
_cell_angle_gamma 120.00
_space_group_name_H-M_alt 'P 1'
_space_group_IT_number 1
_space_group_name_Hall 'P 1'
loop_
_atom_site_label
_atom_site_type_symbol
_atom_site_fract_x
_atom_site_fract_y
_atom_site_fract_z
Zr1 Zr 0.0000 0.0000 0.0000
As1 As 0.6667 0.3333 0.7727
Br1 Br 0.3333 0.6667 0.2925



# Cd2SnBi2 (PBEsol, optimized geometry)
# Formation energy from the elements = 0.11 eV per atom
# E above lowest polymorph = 0.000 eV per atom
# Space-group type = P4/mbm (127)
# D(E_F) = 4.77 states/eV per cell
data_Cd2SnBi2
_cell_length_a 8.9127
_cell_length_b 8.9127
_cell_length_c 3.4698
_cell_angle_alpha 90.00
_cell_angle_beta 90.00
_cell_angle_gamma 90.00
_space_group_name_H-M_alt 'P 1'
_space_group_IT_number 1
_space_group_name_Hall 'P 1'
loop_
_atom_site_label
_atom_site_type_symbol
_atom_site_fract_x
_atom_site_fract_y
_atom_site_fract_z
Cd1 Cd 0.1170 0.3830 0.0000
Cd2 Cd 0.3830 0.8830 0.0000
Cd3 Cd 0.6170 0.1170 0.0000
Cd4 Cd 0.8830 0.6170 0.0000
Sn1 Sn 0.0000 0.0000 0.5000
Sn2 Sn 0.5000 0.5000 0.5000
Bi1 Bi 0.1834 0.6834 0.5000
Bi2 Bi 0.3166 0.1834 0.5000
Bi3 Bi 0.6834 0.8166 0.5000
Bi4 Bi 0.8166 0.3166 0.5000



# Na2As2Pb (PBEsol, optimized geometry)
# Formation energy from the elements = -0.25 eV per atom
# Space-group type = P4/mbm (127)
# D(E_F) = 4.06 states/eV per cell
data_Na2As2Pb
_cell_length_a 7.4111
_cell_length_b 7.4111
_cell_length_c 4.5333
_cell_angle_alpha 90.00
_cell_angle_beta 90.00
_cell_angle_gamma 90.00
_space_group_name_H-M_alt 'P 1'
_space_group_IT_number 1
_space_group_name_Hall 'P 1'
loop_
_atom_site_label
_atom_site_type_symbol
_atom_site_fract_x
_atom_site_fract_y
_atom_site_fract_z
Na1 Na 0.1748 0.3252 0.0000
Na2 Na 0.3252 0.8252 0.0000
Na3 Na 0.6748 0.1748 0.0000
Na4 Na 0.8252 0.6748 0.0000
As1 As 0.1161 0.6161 0.5000
As2 As 0.3839 0.1161 0.5000
As3 As 0.6161 0.8839 0.5000
As4 As 0.8839 0.3839 0.5000
Pb1 Pb 0.0000 0.0000 0.5000
Pb2 Pb 0.5000 0.5000 0.5000



# Li7Nb8O24 (PBEsol, optimized geometry)
# Formation energy from raw total energies = -2419 meV/atom
# Space-group type = P1 (1)
# D(E_F) = 1.54 states/eV per cell
data_Li7Nb8O24
_cell_length_a 5.1886
_cell_length_b 8.9137
_cell_length_c 9.7809
_cell_angle_alpha 72.37
_cell_angle_beta 89.87
_cell_angle_gamma 89.78
_space_group_name_H-M_alt 'P 1'
_space_group_IT_number 1
_space_group_name_Hall 'P 1'
loop_
_atom_site_label
_atom_site_type_symbol
_atom_site_fract_x
_atom_site_fract_y
_atom_site_fract_z
Li1 Li 0.0000 0.0000 0.0000
Li2 Li 0.0004 0.2514 0.2485
Li3 Li 0.0071 0.7491 0.7550
Li4 Li 0.4890 0.2576 0.7390
Li5 Li 0.4960 0.5079 0.9974
Li6 Li 0.4977 0.7574 0.2393
Li7 Li 0.4986 0.0097 0.4894
Nb1 Nb 0.0037 0.3641 0.9198
Nb2 Nb 0.4974 0.1166 0.1679
Nb3 Nb 0.4990 0.8649 0.9209
Nb4 Nb 0.5006 0.3699 0.4130
Nb5 Nb 0.5108 0.6186 0.6724
Nb6 Nb 0.9868 0.1141 0.6745
Nb7 Nb 0.9974 0.6120 0.1713
Nb8 Nb 0.9974 0.8620 0.4133
O1 O 0.1224 0.4729 0.0685
O2 O 0.1331 0.9745 0.5679
O3 O 0.1741 0.1681 0.0693
O4 O 0.1763 0.6961 0.5843
O5 O 0.1941 0.7941 0.0707
O6 O 0.2069 0.2742 0.5687
O7 O 0.3036 0.0450 0.8238
O8 O 0.3127 0.5492 0.3111
O9 O 0.3154 0.4190 0.8200
O10 O 0.3170 0.9173 0.3171
O11 O 0.3700 0.2233 0.3195
O12 O 0.3745 0.7191 0.8287
O13 O 0.5816 0.4746 0.5709
O14 O 0.6269 0.9734 0.0716
O15 O 0.6799 0.6690 0.0713
O16 O 0.6821 0.1701 0.5669
O17 O 0.6882 0.2967 0.0673
O18 O 0.6907 0.7996 0.5675
O19 O 0.8023 0.0471 0.3204
O20 O 0.8027 0.5468 0.8194
O21 O 0.8179 0.4147 0.3141
O22 O 0.8234 0.9141 0.8211
O23 O 0.8661 0.7265 0.3160
O24 O 0.8671 0.2244 0.8188



# CaScAg2 (PBEsol, optimized geometry)
# Formation energy from the elements = -0.12 eV per atom
# Space-group type = Imm2 (44)
# D(E_F) = 2.72 states/eV per cell
data_CaScAg2
_cell_length_a 6.0506
_cell_length_b 6.0506
_cell_length_c 6.0506
_cell_angle_alpha 147.89
_cell_angle_beta 132.34
_cell_angle_gamma 58.63
_space_group_name_H-M_alt 'P 1'
_space_group_IT_number 1
_space_group_name_Hall 'P 1'
loop_
_atom_site_label
_atom_site_type_symbol
_atom_site_fract_x
_atom_site_fract_y
_atom_site_fract_z
Ca1 Ca 0.0000 0.0000 0.0000
Sc1 Sc 0.2920 0.7920 0.5000
Ag1 Ag 0.5279 0.5279 0.0000
Ag2 Ag 0.7418 0.2418 0.5000



# ZrInTc2 (PBEsol, optimized geometry)
# Formation energy from the elements = 0.10 eV per atom
# E above lowest polymorph = 0.231 eV per atom
# Space-group type = C2/m (12)
# D(E_F) = 3.16 states/eV per cell
data_ZrInTc2
_cell_length_a 5.0927
_cell_length_b 5.0927
_cell_length_c 4.6920
_cell_angle_alpha 112.43
_cell_angle_beta 112.43
_cell_angle_gamma 38.29
_space_group_name_H-M_alt 'P 1'
_space_group_IT_number 1
_space_group_name_Hall 'P 1'
loop_
_atom_site_label
_atom_site_type_symbol
_atom_site_fract_x
_atom_site_fract_y
_atom_site_fract_z
Zr1 Zr 0.0000 0.0000 0.0000
In1 In 0.5000 0.5000 0.5000
Tc1 Tc 0.2577 0.2577 0.7264
Tc2 Tc 0.7423 0.7423 0.2736



# HfZrPb2Br (PBEsol, optimized geometry)
# Formation energy from raw total energies = 584 meV/atom
# Space-group type = P4/mmm (123)
# D(E_F) = 3.44 states/eV per cell
data_HfZrPb2Br
_cell_length_a 5.5415
_cell_length_b 5.5415
_cell_length_c 5.1467
_cell_angle_alpha 90.00
_cell_angle_beta 90.00
_cell_angle_gamma 90.00
_space_group_name_H-M_alt 'P 1'
_space_group_IT_number 1
_space_group_name_Hall 'P 1'
loop_
_atom_site_label
_atom_site_type_symbol
_atom_site_fract_x
_atom_site_fract_y
_atom_site_fract_z
Hf1 Hf 0.0000 0.0000 0.0000
Zr1 Zr 0.0000 0.0000 0.5000
Pb1 Pb 0.0000 0.5000 0.0000
Pb2 Pb 0.5000 0.0000 0.0000
Br1 Br 0.5000 0.5000 0.5000



no.,total moment (μB/atom)
1,0.00
2,0.30
3,0.00
4,0.00
5,0.43
6,0.00
7,0.00
8,0.00
9,0.03
10,0.00
11,0.00
12,0.00